# 1
## Nb2CdF (PBE)

Data for crystalline Nb2CdF at its relaxed geometry.

For the total energy, the calculation gives -5.481 eV/atom. For the density of states at the Fermi level, the calculation gives 1.59 states/eV/atom. The calculated volume is 20.62 A^3/atom. The magnetization is 0.00 μB/f.u.

a = 8.1996 Å, b = 8.1996 Å, c = 8.1996 Å
α = 146.77°, β = 146.77°, γ = 47.71°
Element x y z (fractional)
Nb 0.3750 0.2228 0.3478
Nb 0.7772 0.1250 0.1522
Nb 0.8750 0.0272 0.6522
Nb 0.9728 0.6250 0.8478
Cd 0.2500 0.7500 0.5000
Cd 0.5000 0.5000 0.0000
F 0.0000 0.0000 0.0000
F 0.7500 0.2500 0.5000


# 2
## Sc2Mn (PBE)

Data for crystalline Sc2Mn at its relaxed geometry.

For the total energy, the calculation gives -6.976 eV/atom. For the density of states at the Fermi level, the calculation gives 1.46 states/eV/atom. As for the formation energy: 0.90 eV per formula unit. The calculated volume is 19.34 A^3/atom. The magnetization is 0.00 μB/f.u.

a = 3.1828 Å, b = 3.1828 Å, c = 6.6143 Å
α = 90.00°, β = 90.00°, γ = 120.00°
Element x y z (fractional)
Sc 0.3333 0.6667 0.2761
Sc 0.6667 0.3333 0.7239
Mn 0.0000 0.0000 0.0000